The following is a PBE calculation of a geometry-optimized YBeIr structure, from the Alexandria database.

Output
The value obtained for the energy above the most stable polymorph in this dataset is 213 meV/atom. The value obtained for the calculated volume is 16.55 Å³/atom. For the total magnetization, the calculation gives 0.0 μB per cell. As for the energy: -6.8015 eV/atom. The formation energy comes out at -0.45 eV per atom. Its space group is I4mm, No. 107.

a = 3.136 Å, b = 3.136 Å, c = 10.097 Å
α = 90.00°, β = 90.00°, γ = 90.00°
Fractional coordinates of all 6 atoms:
Y 0.000 0.000 0.000
Y 0.500 0.500 0.500
Be 0.000 0.000 0.290
Be 0.500 0.500 0.790
Ir 0.000 0.000 0.704
Ir 0.500 0.500 0.204